Density functional theory data (PBE) for an optimized crystal structure of BaTiCd.

a = 4.8076 Å, b = 4.8133 Å, c = 8.1392 Å
α = 90.08°, β = 90.21°, γ = 90.03°
Space group P-1 (No. 2)
Inequivalent atoms, fractional coordinates:
Ba (0.2499, 0.2502, 0.1590) (multiplicity 2)
Ti (0.2541, 0.7481, 0.4999) (multiplicity 2)
Cd (0.2479, 0.2490, 0.6921) (multiplicity 2)

Output
* offset from the most stable computed form: 0.00 eV per formula unit
* N(E_F): 1.322 states/eV per atom
* energy of formation: 0.1927 eV/atom

Density functional theory data (PBE) for an optimized crystal structure of Rb2Pu2Se2S.

a = 5.2884 Å, b = 5.2884 Å, c = 17.2801 Å
α = 90.00°, β = 90.00°, γ = 90.00°
Space group I4/mmm (No. 139)
Inequivalent atoms, fractional coordinates:
Rb (0.0000, 0.0000, 0.1889) (multiplicity 4)
Pu (0.0000, 0.5000, 0.0000) (multiplicity 4)
Se (0.0000, 0.0000, 0.3930) (multiplicity 4)
S (0.0000, 0.0000, 0.0000) (multiplicity 2)

Output
* energy relative to the elements, uncorrected: -1.1483 eV per atom
* N(E_F): 3.001 states/eV per atom

Density functional theory data (PBE) for an optimized crystal structure of ReTcRh.

a = 2.7626 Å, b = 2.7626 Å, c = 11.4774 Å
α = 90.00°, β = 90.00°, γ = 90.00°
Space group I4mm (No. 107)
Inequivalent atoms, fractional coordinates:
Re (0.0000, 0.0000, 0.0000) (multiplicity 2)
Tc (0.0000, 0.0000, 0.3389) (multiplicity 2)
Rh (0.0000, 0.0000, 0.6681) (multiplicity 2)

Output
* offset from the most stable computed form: 0.23 eV per formula unit
* N(E_F): 1.035 states/eV per atom
* energy of formation: -0.0131 eV/atom

Density functional theory data (PBE) for an optimized crystal structure of AlCoOs4.

a = 7.2213 Å, b = 7.2213 Å, c = 7.2213 Å
α = 90.00°, β = 90.00°, γ = 90.00°
Space group F-43m (No. 216)
Inequivalent atoms, fractional coordinates:
Al (0.0000, 0.0000, 0.0000) (multiplicity 4)
Co (0.2500, 0.2500, 0.2500) (multiplicity 4)
Os (0.1249, 0.1249, 0.6249) (multiplicity 16)

Output
* N(E_F): 1.407 states/eV per atom
* energy of formation: 0.7044 eV/atom

Density functional theory data (PBE) for an optimized crystal structure of NpNb2Os.

a = 6.5881 Å, b = 6.5881 Å, c = 6.5881 Å
α = 90.00°, β = 90.00°, γ = 90.00°
Space group Fm-3m (No. 225)
Inequivalent atoms, fractional coordinates:
Np (0.0000, 0.0000, 0.0000) (multiplicity 4)
Nb (0.2500, 0.2500, 0.2500) (multiplicity 8)
Os (0.0000, 0.0000, 0.5000) (multiplicity 4)

Output
* offset from the most stable computed form: 0.20 eV per formula unit
* N(E_F): 2.758 states/eV per atom
* energy of formation: 0.1965 eV/atom

Density functional theory data (PBE) for an optimized crystal structure of PmLuAgOs.

a = 7.0253 Å, b = 7.0253 Å, c = 7.0253 Å
α = 90.00°, β = 90.00°, γ = 90.00°
Space group F-43m (No. 216)
Inequivalent atoms, fractional coordinates:
Pm (0.0000, 0.0000, 0.0000) (multiplicity 4)
Lu (0.0000, 0.0000, 0.5000) (multiplicity 4)
Ag (0.2500, 0.2500, 0.7500) (multiplicity 4)
Os (0.2500, 0.2500, 0.2500) (multiplicity 4)

Output
* N(E_F): 0.626 states/eV per atom
* energy of formation: -0.2231 eV/atom

> Which formula does entry 5 have?

NpNb2Os

> N(E_F) of number 4 (AlCoOs4)?

1.407 states/eV per atom